PBE CdCu2Os2, optimized geometry; E_tot = -5.685 eV per atom; D(E_F) = 11.133 states/eV per cell; energy above the lowest structure with this stoichiometry = 0.00 kcal/mol of atoms
1.0
-2.659 -2.522 6.562
4.928 -5.673 -0.184
1.813 1.532 1.323
Os Cu Cd
4 4 2
Cartesian
0.694 -5.728 5.681
1.575 -2.467 0.698
-1.064 -2.221 4.028
3.333 -5.974 2.350
3.775 -3.533 1.708
0.931 -1.057 2.739
3.151 -5.606 4.963
0.306 -3.130 5.994
1.134 -4.097 3.189
0.000 0.000 0.000

PBE Pm4AgIr, optimized geometry; E_tot = -5.370 eV per atom; D(E_F) = 8.537 states/eV per cell; energy above the lowest structure with this stoichiometry = 3.82 kcal/mol of atoms
1.0
-4.221 -1.298 -2.303
-0.452 -3.991 3.052
-4.113 3.532 4.846
Pm Ag Ir
4 1 1
Cartesian
-5.194 1.804 2.420
-3.585 -3.556 3.135
-3.321 0.474 5.080
-5.459 -2.226 0.475
-6.447 0.890 5.200
-2.506 -2.222 5.455

PBE Ti4NbO, optimized geometry; E_tot = -8.659 eV per atom; D(E_F) = 13.942 states/eV per cell; energy relative to the elements, uncorrected = -86.0 kJ/mol of atoms
1.0
-0.263 1.162 -5.138
2.466 -5.234 -4.017
-4.161 -3.618 -0.606
Ti O Nb
8 2 2
Cartesian
-1.241 -5.265 -3.365
0.794 -3.255 -3.954
-2.752 -4.435 -5.807
0.017 -5.251 -6.042
-0.717 -2.424 -6.396
-2.119 -6.819 -7.409
0.161 -0.870 -2.352
-1.974 -2.439 -3.718
-0.979 -3.845 -4.880
1.233 -2.617 -2.008
-0.688 -7.801 -5.118
-1.270 0.111 -4.643

PBE BeZn2Si, optimized geometry; E_tot = -2.620 eV per atom; D(E_F) = 1.194 states/eV per cell; energy relative to the elements, uncorrected = 29.3 kJ/mol of atoms
1.0
-3.758 -2.343 -1.462
1.222 -3.511 -2.817
1.459 1.316 4.229
Zn Be Si
2 1 1
Cartesian
-1.268 -2.927 -2.139
0.000 0.000 0.000
0.706 -2.561 -0.363
-1.783 -1.977 0.314

PBE TaTlTeO6, optimized geometry; E_tot = -6.907 eV per atom; energy relative to the elements, uncorrected = -161.3 kJ/mol of atoms
1.0
-1.610 -2.290 -4.590
3.359 -0.278 -4.188
2.086 -5.559 2.042
Te O Ta Tl
1 6 1 1
Cartesian
1.626 -3.635 -1.905
-0.272 -3.178 -2.134
3.424 -3.946 -1.173
0.807 -4.659 -0.440
1.754 -5.250 -3.018
1.975 -1.921 -1.008
2.069 -2.858 -3.655
2.209 -4.491 -4.831
0.476 -7.849 -2.548

PBE Os, optimized geometry; E_tot = -9.555 eV per atom; D(E_F) = 21.542 states/eV per cell; energy above the lowest structure with this stoichiometry = 38.61 kcal/mol of atoms
1.0
6.825 0.000 0.000
0.000 6.825 0.000
0.000 0.000 6.825
Os
12
Cartesian
0.000 3.412 5.119
3.412 5.119 0.000
0.000 5.119 3.412
5.119 0.000 3.412
3.412 1.706 0.000
3.412 0.000 5.119
1.706 0.000 3.412
0.000 1.706 3.412
0.000 3.412 1.706
3.412 0.000 1.706
1.706 3.412 0.000
5.119 3.412 0.000

PBE VSeBr2, optimized geometry; E_tot = -4.096 eV per atom; D(E_F) = 3.686 states/eV per cell; energy relative to the elements, uncorrected = -10.5 kJ/mol of atoms; energy above the lowest structure with this stoichiometry = 6.82 kcal/mol of atoms
1.0
8.571 -4.295 5.161
9.463 -4.971 2.074
10.150 -2.036 3.376
Se Br V
1 2 1
Cartesian
0.000 0.000 0.000
3.218 -1.291 1.212
24.965 -10.012 9.400
14.092 -5.651 5.306

PBE BaSr7Ca4, optimized geometry; E_tot = -1.661 eV per atom; D(E_F) = 14.815 states/eV per cell; energy above the lowest structure with this stoichiometry = 2.12 kcal/mol of atoms
1.0
6.912 0.000 0.000
3.456 10.298 1.651
3.456 1.787 9.005
Ca Sr Ba
4 7 1
Cartesian
6.912 6.660 1.160
6.912 4.150 5.922
6.912 7.935 4.734
6.912 5.425 9.495
6.912 8.949 8.352
6.912 3.136 2.304
10.368 9.975 6.227
3.456 0.000 0.000
3.456 6.287 3.350
10.368 5.798 7.305
3.456 2.111 4.428
0.000 0.000 0.000